[1]
Computed, not measured: a geometry-optimized HoEr12Tm2 structure at the PBE-GGA level of DFT.

Structure (extended XYZ):
```
15
Lattice="1.7890 -23.0548 0.0000 1.7890 23.0548 0.0000 0.0000 0.0000 5.5838" Properties=species:S:1:pos:R:3 pbc="T T T"
Ho 0.0000 0.0000 0.0000
Er 1.7890 18.6015 2.7919
Er 1.7890 12.8517 2.7919
Er 1.7890 9.7802 0.0000
Er 1.7890 7.4213 2.7919
Er 1.7890 3.3961 0.0000
Er 1.7890 1.5392 2.7919
Er 1.7890 -1.5392 2.7919
Er 1.7890 -3.3961 0.0000
Er 1.7890 -7.4213 2.7919
Er 1.7890 -9.7802 0.0000
Er 1.7890 -12.8517 2.7919
Er 1.7890 -18.6015 2.7919
Tm 1.7890 16.4911 0.0000
Tm 1.7890 -16.4911 0.0000
```

---

[2]
Computed, not measured: a geometry-optimized Ho8ErTm6 structure at the PBE-GGA level of DFT.

Structure (extended XYZ):
```
15
Lattice="4.4504 2.5695 6.7770 -4.4504 2.5695 6.7770 0.0000 -5.1389 6.7770" Properties=species:S:1:pos:R:3 pbc="T T T"
Ho 0.0000 0.0000 1.5576
Ho -0.1060 -1.9397 7.2807
Ho -1.6269 1.0617 7.2807
Ho -1.7328 -0.8781 13.0502
Ho 1.7328 0.8781 7.2807
Ho 1.6269 -1.0616 13.0503
Ho 0.1060 1.9397 13.0503
Ho 0.0000 0.0000 18.7733
Er 0.0000 0.0000 10.1655
Tm -3.0670 -1.1486 9.3507
Tm -0.5388 -3.2304 10.9802
Tm -2.5282 2.0818 10.9802
Tm 2.5282 -2.0818 9.3507
Tm 0.5388 3.2304 9.3507
Tm 3.0670 1.1486 10.9802
```

---

[3]
Computed, not measured: a geometry-optimized Ho8Er2Tm3 structure at the PBE-GGA level of DFT.

Structure (extended XYZ):
```
13
Lattice="10.0007 -3.7614 0.0000 10.0007 3.7614 0.0000 -0.0021 0.0000 5.5325" Properties=species:S:1:pos:R:3 pbc="T T T"
Ho 7.8386 2.1687 5.5311
Ho 3.3400 0.0000 2.7696
Ho 12.1607 2.1687 0.0014
Ho 7.3500 0.0000 2.7671
Ho 12.6493 0.0000 2.7654
Ho 7.8386 -2.1687 5.5311
Ho 16.6593 0.0000 2.7629
Ho 12.1607 -2.1687 0.0014
Er 5.1753 0.0000 0.0037
Er 14.8241 0.0000 5.5288
Tm 9.9997 2.1340 2.7663
Tm 10.0007 0.0000 0.0000
Tm 9.9997 -2.1340 2.7663
```

---

[4]
Computed, not measured: a geometry-optimized HoEr3Tm4 structure at the PBE-GGA level of DFT.

Structure (extended XYZ):
```
16
Lattice="11.0454 0.0000 0.0000 0.0000 7.1464 0.0000 0.0000 0.0000 6.1787" Properties=species:S:1:pos:R:3 pbc="T T T"
Ho 0.0000 0.8963 0.0000
Ho 5.5227 6.2501 3.0894
Er 0.0000 6.2471 3.0889
Er 2.7615 0.8974 2.0606
Er 2.7612 6.2489 5.1500
Er 5.5227 0.8993 6.1783
Er 8.2840 0.8974 2.0606
Er 8.2842 6.2489 5.1500
Tm 0.0000 2.6822 3.0904
Tm 0.0000 4.4611 6.1781
Tm 2.7635 2.6848 5.1487
Tm 2.7592 4.4616 2.0593
Tm 5.5227 2.6853 3.0887
Tm 5.5227 4.4642 0.0011
Tm 8.2819 2.6848 5.1487
Tm 8.2862 4.4616 2.0593
```

---

[5]
Computed, not measured: a geometry-optimized HoEr7Tm2 structure at the PBE-GGA level of DFT.

Structure (extended XYZ):
```
10
Lattice="-2.6738 3.4610 8.2248 2.6738 -3.4610 8.2248 2.6738 3.4610 -8.2248" Properties=species:S:1:pos:R:3 pbc="T T T"
Ho 0.0000 0.0000 0.0000
Er 2.6738 1.7321 -1.8131
Er 0.0000 0.0000 3.2852
Er 2.6738 1.7321 1.8131
Er 0.0000 3.4610 0.0000
Er 0.0000 1.7289 6.4118
Er 0.0000 0.0000 13.1645
Er 0.0000 1.7289 10.0379
Tm 2.6738 0.0000 4.9444
Tm 0.0000 3.4610 3.2804
```

---

[6]
Computed, not measured: a geometry-optimized HoEr4Tm6 structure at the PBE-GGA level of DFT.

Structure (extended XYZ):
```
11
Lattice="-3.2224 3.2224 8.4233 3.2224 -3.2224 8.4233 3.2224 3.2224 -8.4233" Properties=species:S:1:pos:R:3 pbc="T T T"
Ho 0.0000 0.0000 0.0000
Er 2.0641 2.0641 -2.2463
Er 1.1583 -1.1583 10.6697
Er 1.1583 1.1583 6.1770
Er -1.1583 1.1583 10.6697
Tm 3.2224 0.0000 0.0000
Tm 2.0265 -2.0265 5.5397
Tm 1.1959 1.1959 2.8837
Tm 0.0000 3.2224 0.0000
Tm -2.0265 2.0265 5.5397
Tm 2.0265 2.0265 11.3070
```

---

[7]
Computed, not measured: a geometry-optimized Ho3Er3Tm5 structure at the PBE-GGA level of DFT.

Structure (extended XYZ):
```
11
Lattice="9.6441 0.0000 0.0000 -4.8221 8.3521 0.0000 0.0000 0.0000 5.4742" Properties=species:S:1:pos:R:3 pbc="T T T"
Ho -1.7068 2.9562 0.0000
Ho 3.4135 0.0000 0.0000
Ho 3.1153 5.3958 0.0000
Er -2.5394 4.3983 2.7371
Er 2.2827 3.9537 2.7371
Er 5.0788 0.0000 2.7371
Tm -3.3892 5.8702 0.0000
Tm 1.4329 2.4818 0.0000
Tm 0.0000 5.5680 0.0000
Tm 4.8221 2.7840 0.0000
Tm 6.7783 0.0000 0.0000
```

---

[8]
Computed, not measured: a geometry-optimized Ho7Er3Tm2 structure at the PBE-GGA level of DFT.

Structure (extended XYZ):
```
12
Lattice="5.7026 0.0000 0.0000 0.0000 3.5255 0.0000 -1.1320 0.0000 18.3797" Properties=species:S:1:pos:R:3 pbc="T T T"
Ho 0.0000 0.0000 0.0000
Ho 0.8477 1.7627 3.3062
Ho 0.8632 1.7627 9.8594
Ho 0.8468 0.0000 15.7343
Ho 3.7239 0.0000 2.6454
Ho 3.7075 1.7627 8.5203
Ho 3.7230 1.7627 15.0735
Er 0.8332 0.0000 6.7538
Er 2.8513 1.7627 0.0000
Er 3.7375 0.0000 11.6259
Tm 0.8773 1.7627 12.9598
Tm 3.6933 1.7627 5.4199
```

---

[9]
Computed, not measured: a geometry-optimized Ho2Er5Tm structure at the PBE-GGA level of DFT.

Structure (extended XYZ):
```
16
Lattice="6.9973 0.0000 0.0000 0.0000 13.9946 0.0000 0.0000 0.0000 4.9447" Properties=species:S:1:pos:R:3 pbc="T T T"
Ho 1.7523 1.7479 0.0000
Ho 1.7463 8.7452 0.0000
Ho 5.2509 5.2494 0.0000
Ho 5.2450 12.2467 0.0000
Er 0.0000 0.0000 2.4724
Er 0.0047 3.5002 2.4724
Er 1.7519 5.2492 0.0000
Er 1.7467 12.2465 0.0000
Er 3.4940 10.4976 2.4724
Er 3.4986 6.9973 2.4724
Er 3.5033 3.4971 2.4724
Er 5.2506 1.7481 0.0000
Er 5.2453 8.7454 0.0000
Er 6.9926 10.4944 2.4724
Tm 0.0000 6.9973 2.4724
Tm 3.4986 0.0000 2.4724
```

---

[10]
Computed, not measured: a geometry-optimized Ho7Er3Tm2 structure at the PBE-GGA level of DFT.

Structure (extended XYZ):
```
12
Lattice="6.2724 0.0000 0.0000 0.0000 3.4984 0.0000 -0.0401 0.0000 16.9114" Properties=species:S:1:pos:R:3 pbc="T T T"
Ho 0.0000 0.0000 0.0000
Ho 1.0866 1.7492 2.8440
Ho 1.5148 1.7492 8.4195
Ho 2.0022 0.0000 14.1032
Ho 4.2301 0.0000 2.8083
Ho 4.7175 1.7492 8.4919
Ho 5.1457 1.7492 14.0674
Er 0.0031 0.0000 5.7847
Er 3.1362 1.7492 0.0000
Er 6.2292 0.0000 11.1267
Tm 3.0596 1.7492 11.3932
Tm 3.1727 1.7492 5.5182
```

---

[11]
Computed, not measured: a geometry-optimized Ho8ErTm2 structure at the PBE-GGA level of DFT.

Structure (extended XYZ):
```
11
Lattice="6.4852 0.0000 0.0000 -0.6016 6.5747 0.0000 -1.4121 -3.2982 7.9749" Properties=species:S:1:pos:R:3 pbc="T T T"
Ho -0.4065 2.0436 1.1052
Ho -0.4243 -2.1397 6.2137
Ho 0.5731 0.6964 4.3787
Ho 2.2830 -0.0512 1.3632
Ho 2.1885 3.3276 6.6117
Ho 3.8984 2.5800 3.5962
Ho 4.8958 5.4161 1.7612
Ho 4.8780 1.2328 6.8697
Er 2.9418 3.2873 0.0000
Tm 0.7979 3.9713 3.4132
Tm 3.6736 -0.6949 4.5617
```

---

[12]
Computed, not measured: a geometry-optimized Ho4Er4Tm3 structure at the PBE-GGA level of DFT.

Structure (extended XYZ):
```
11
Lattice="9.1545 -5.4878 0.0000 9.1545 5.4878 0.0000 -0.6649 0.0000 3.4429" Properties=species:S:1:pos:R:3 pbc="T T T"
Ho 9.1545 3.2465 0.0000
Ho 4.8434 0.0000 0.9424
Ho 12.8007 0.0000 2.5005
Ho 9.1545 -3.2465 0.0000
Er 5.4989 2.6129 2.8556
Er 12.1452 2.6129 0.5872
Er 5.4989 -2.6129 2.8556
Er 12.1452 -2.6129 0.5872
Tm 1.5724 0.0000 2.0935
Tm 8.8220 0.0000 1.7214
Tm 16.0716 0.0000 1.3494
```

---

no.,magnetization (μB per atom),calculated formation energy (eV per atom)
1,0.00,0.08
2,0.00,0.13
3,0.00,0.24
4,0.00,0.00
5,0.00,0.05
6,0.00,0.31
7,0.00,0.84
8,0.00,0.09
9,0.00,0.02
10,0.00,0.07
11,0.00,0.09
12,0.00,0.19